[1]
# Nd2Er6Mg, relaxed, DFT GGA-PBE
# - DFT formation energy: 0.08 eV/atom
# - Distance to the lowest polymorph of the same formula: 53 meV per atom
# - Total DFT energy (no corrections): -4.1972 eV/atom
# - Total magnetic moment: 0.000 μB per atom
data_Nd2Er6Mg
_chemical_formula_sum 'Nd2 Er6 Mg1'
_space_group_name_H-M_alt 'P -6 m 2'
_space_group_IT_number 187
_space_group_name_Hall 'P -6 2'
_cell_length_a 3.5386
_cell_length_b 3.5386
_cell_length_c 26.0025
_cell_angle_alpha 90.00
_cell_angle_beta 90.00
_cell_angle_gamma 120.00
loop_
_atom_site_label
_atom_site_type_symbol
_atom_site_fract_x
_atom_site_fract_y
_atom_site_fract_z
Nd1 Nd 0.0000 0.0000 0.1735
Er1 Er 0.0000 0.0000 0.3957
Er2 Er 0.6667 0.3333 0.0638
Er3 Er 0.6667 0.3333 0.2894
Mg1 Mg 0.6667 0.3333 0.5000

[2]
# Nd3ErMg, relaxed, DFT GGA-PBE
# - DFT formation energy: 0.12 eV/atom
# - Distance to the lowest polymorph of the same formula: 55 meV per atom
# - Total DFT energy (no corrections): -3.9726 eV/atom
# - Total magnetic moment: 0.000 μB per atom
data_Nd3ErMg
_chemical_formula_sum 'Nd6 Er2 Mg2'
_space_group_name_H-M_alt 'P m m n'
_space_group_IT_number 59
_cell_length_a 3.840
_cell_length_b 10.670
_cell_length_c 8.222
_cell_angle_alpha 90.00
_cell_angle_beta 90.00
_cell_angle_gamma 90.00
loop_
_space_group_symop_operation_xyz
'x,y,z'
'-x,-y,-z'
'-x+1/2,-y+1/2,z'
'x+1/2,y+1/2,-z'
'x+1/2,-y,-z'
'-x+1/2,y,z'
'-x,y+1/2,-z'
'x,-y+1/2,z'
loop_
_atom_site_label
_atom_site_type_symbol
_atom_site_fract_x
_atom_site_fract_y
_atom_site_fract_z
Nd1 Nd 0.250 0.003 0.233
Nd2 Nd 0.250 0.750 0.556
Er1 Er 0.250 0.750 0.945
Mg1 Mg 0.250 0.250 0.757

[3]
# NdErMgNi, relaxed, DFT GGA-PBE
# - DFT formation energy: -0.08 eV/atom
# - Total DFT energy (no corrections): -4.2559 eV/atom
# - Total magnetic moment: 0.000 μB per atom
data_NdErMgNi
_chemical_formula_sum 'Nd4 Er4 Mg4 Ni4'
_space_group_name_H-M_alt 'F -4 3 m'
_space_group_IT_number 216
_space_group_name_Hall 'F -4 2 3'
_cell_length_a 7.233
_cell_length_b 7.233
_cell_length_c 7.233
_cell_angle_alpha 90.00
_cell_angle_beta 90.00
_cell_angle_gamma 90.00
loop_
_atom_site_label
_atom_site_type_symbol
_atom_site_fract_x
_atom_site_fract_y
_atom_site_fract_z
Nd1 Nd 0.000 0.000 0.000
Er1 Er 0.000 0.000 0.500
Mg1 Mg 0.250 0.250 0.250
Ni1 Ni 0.250 0.250 0.750

[4]
# NdErMgOs, relaxed, DFT GGA-PBE
# - DFT formation energy: -0.07 eV/atom
# - Total DFT energy (no corrections): -5.6097 eV/atom
# - Total magnetic moment: 0.000 μB per atom
data_NdErMgOs
_chemical_formula_sum 'Nd4 Er4 Mg4 Os4'
_space_group_name_H-M_alt 'F -4 3 m'
_space_group_IT_number 216
_space_group_name_Hall 'F -4 2 3'
_cell_length_a 7.150
_cell_length_b 7.150
_cell_length_c 7.150
_cell_angle_alpha 90.00
_cell_angle_beta 90.00
_cell_angle_gamma 90.00
loop_
_atom_site_label
_atom_site_type_symbol
_atom_site_fract_x
_atom_site_fract_y
_atom_site_fract_z
Nd1 Nd 0.000 0.000 0.000
Er1 Er 0.000 0.000 0.500
Mg1 Mg 0.250 0.250 0.250
Os1 Os 0.250 0.250 0.750

[5]
# NdErMgPa, relaxed, DFT GGA-PBE
# - DFT formation energy: 0.34 eV/atom
# - Total DFT energy (no corrections): -4.7625 eV/atom
# - Total magnetic moment: 0.000 μB per atom
data_NdErMgPa
_chemical_formula_sum 'Nd4 Er4 Mg4 Pa4'
_space_group_name_H-M_alt 'F -4 3 m'
_space_group_IT_number 216
_space_group_name_Hall 'F -4 2 3'
_cell_length_a 7.663
_cell_length_b 7.663
_cell_length_c 7.663
_cell_angle_alpha 90.00
_cell_angle_beta 90.00
_cell_angle_gamma 90.00
loop_
_atom_site_label
_atom_site_type_symbol
_atom_site_fract_x
_atom_site_fract_y
_atom_site_fract_z
Nd1 Nd 0.000 0.000 0.000
Er1 Er 0.000 0.000 0.500
Mg1 Mg 0.250 0.250 0.750
Pa1 Pa 0.250 0.250 0.250

[6]
# NdEr2MgPd4, relaxed, DFT GGA-PBE
# - DFT formation energy: -0.81 eV/atom
# - Total DFT energy (no corrections): -5.3434 eV/atom
# - Total magnetic moment: 0.000 μB per atom
data_NdEr2MgPd4
_chemical_formula_sum 'Nd3 Er6 Mg3 Pd12'
_space_group_name_H-M_alt 'R -3 m'
_space_group_IT_number 166
_space_group_name_Hall '-R 3 2"'
_cell_length_a 4.8462
_cell_length_b 4.8462
_cell_length_c 24.4773
_cell_angle_alpha 90.00
_cell_angle_beta 90.00
_cell_angle_gamma 120.00
loop_
_atom_site_label
_atom_site_type_symbol
_atom_site_fract_x
_atom_site_fract_y
_atom_site_fract_z
Nd1 Nd 0.0000 0.0000 0.0000
Er1 Er 0.0000 0.0000 0.2431
Mg1 Mg 0.0000 0.0000 0.5000
Pd1 Pd 0.0000 0.0000 0.1260
Pd2 Pd 0.0000 0.0000 0.3854